VASP calculation (PBE) on an optimized crystal structure of Ac2Ga3SnPt4.

abc: 4.492 4.492 10.654
angles: 90.00 90.00 90.00
Positions (direct):
Ac1 0.000 0.500 0.244
Ac2 0.500 0.000 0.756
Ga1 0.000 0.500 0.879
Ga2 0.500 0.000 0.121
Ga3 0.500 0.500 0.500
Sn1 0.000 0.000 0.500
Pt1 0.000 0.000 0.000
Pt2 0.000 0.500 0.641
Pt3 0.500 0.000 0.359
Pt4 0.500 0.500 0.000

**Mass density**: 12.066 g cm⁻³
**Energy relative to the elements**: -959 meV/atom
**Total energy**: -55.05 eV per cell
**Total moment**: 0.00 μB per formula unit